Record 1
# Tb3ErZn2 PBE optimized geometry
# M_tot: 0.00 Bohr magnetons per cell
# D(E_F): 1.04 states/eV per atom
# energy: -22.31 eV for the cell shown
# theoretical density: 8.3 g cm⁻³
# formation energy from the elements: -1.3 eV/f.u.
data_Tb3ErZn2
_cell_length_a 3.578
_cell_length_b 3.578
_cell_length_c 12.120
_cell_angle_alpha 90.00
_cell_angle_beta 90.00
_cell_angle_gamma 90.00
_space_group_name_H-M_alt 'P 4/m m m'
_space_group_IT_number 123
_space_group_name_Hall '-P 4 2'
loop_
_atom_site_label
_atom_site_type_symbol
_atom_site_fract_x
_atom_site_fract_y
_atom_site_fract_z
Tb1 Tb 0.000 0.000 0.000
Tb2 Tb 0.000 0.000 0.293
Er1 Er 0.500 0.500 0.500
Zn1 Zn 0.500 0.500 0.146

Record 2
# TbEr2Zn9 PBE optimized geometry
# M_tot: 0.00 Bohr magnetons per cell
# D(E_F): 0.55 states/eV per atom
# energy: -87.08 eV for the cell shown
# theoretical density: 8.3 g cm⁻³
# formation energy from the elements: -3.8 eV/f.u.
data_TbEr2Zn9
_cell_length_a 5.4237
_cell_length_b 5.4237
_cell_length_c 25.6117
_cell_angle_alpha 90.00
_cell_angle_beta 90.00
_cell_angle_gamma 120.00
_space_group_name_H-M_alt 'R -3 m'
_space_group_IT_number 166
_space_group_name_Hall '-R 3 2"'
loop_
_atom_site_label
_atom_site_type_symbol
_atom_site_fract_x
_atom_site_fract_y
_atom_site_fract_z
Tb1 Tb 0.0000 0.0000 0.0000
Er1 Er 0.0000 0.0000 0.1400
Zn1 Zn 0.0000 0.0000 0.3349
Zn2 Zn 0.0000 0.0000 0.5000
Zn3 Zn 0.0063 0.5032 0.9171

Record 3
# TbEr6Zn PBE optimized geometry
# M_tot: 0.00 Bohr magnetons per cell
# D(E_F): 1.21 states/eV per atom
# energy: -98.68 eV for the cell shown
# theoretical density: 8.7 g cm⁻³
# formation energy from the elements: 0.4 eV/f.u.
data_TbEr6Zn
_cell_length_a 9.1774
_cell_length_b 9.1774
_cell_length_c 9.6409
_cell_angle_alpha 90.00
_cell_angle_beta 90.00
_cell_angle_gamma 120.00
_space_group_name_H-M_alt 'R -3'
_space_group_IT_number 148
_space_group_name_Hall '-R 3'
loop_
_atom_site_label
_atom_site_type_symbol
_atom_site_fract_x
_atom_site_fract_y
_atom_site_fract_z
Tb1 Tb 0.0000 0.0000 0.0000
Er1 Er 0.0307 0.2500 0.7056
Zn1 Zn 0.0000 0.0000 0.5000

Record 4
# TbEr6Zn2 PBE optimized geometry
# M_tot: 0.00 Bohr magnetons per cell
# D(E_F): 1.17 states/eV per atom
# energy: -71.70 eV for the cell shown
# theoretical density: 8.8 g cm⁻³
# formation energy from the elements: -1.3 eV/f.u.
data_TbEr6Zn2
_cell_length_a 12.338
_cell_length_b 3.587
_cell_length_c 11.654
_cell_angle_alpha 90.00
_cell_angle_beta 109.26
_cell_angle_gamma 90.00
_space_group_name_H-M_alt 'C 1 2/m 1'
_space_group_IT_number 12
_space_group_name_Hall '-C 2y'
loop_
_atom_site_label
_atom_site_type_symbol
_atom_site_fract_x
_atom_site_fract_y
_atom_site_fract_z
Tb1 Tb 0.000 0.000 0.000
Er1 Er 0.023 0.000 0.330
Er2 Er 0.185 0.500 0.587
Er3 Er 0.190 0.500 0.875
Zn1 Zn 0.150 0.500 0.207

Record 5
# Tb6ErZn2 PBE optimized geometry
# M_tot: 0.00 Bohr magnetons per cell
# D(E_F): 1.10 states/eV per atom
# energy: -72.38 eV for the cell shown
# theoretical density: 8.3 g cm⁻³
# formation energy from the elements: -1.3 eV/f.u.
data_Tb6ErZn2
_cell_length_a 12.461
_cell_length_b 3.626
_cell_length_c 11.760
_cell_angle_alpha 90.00
_cell_angle_beta 109.51
_cell_angle_gamma 90.00
_space_group_name_H-M_alt 'C 1 2/m 1'
_space_group_IT_number 12
_space_group_name_Hall '-C 2y'
loop_
_atom_site_label
_atom_site_type_symbol
_atom_site_fract_x
_atom_site_fract_y
_atom_site_fract_z
Tb1 Tb 0.025 0.000 0.328
Tb2 Tb 0.186 0.500 0.590
Tb3 Tb 0.190 0.500 0.876
Er1 Er 0.000 0.000 0.000
Zn1 Zn 0.147 0.500 0.200

Record 6
# Tb2ErZn3 PBE optimized geometry
# M_tot: 0.01 Bohr magnetons per cell
# D(E_F): 1.21 states/eV per atom
# energy: -19.69 eV for the cell shown
# theoretical density: 8.3 g cm⁻³
# formation energy from the elements: -2.0 eV/f.u.
data_Tb2ErZn3
_cell_length_a 5.0477
_cell_length_b 5.0477
_cell_length_c 6.1835
_cell_angle_alpha 90.00
_cell_angle_beta 90.00
_cell_angle_gamma 120.00
_space_group_name_H-M_alt 'P -3 m 1'
_space_group_IT_number 164
_space_group_name_Hall '-P 3 2"'
loop_
_atom_site_label
_atom_site_type_symbol
_atom_site_fract_x
_atom_site_fract_y
_atom_site_fract_z
Tb1 Tb 0.3333 0.6667 0.1706
Er1 Er 0.0000 0.0000 0.5000
Zn1 Zn 0.0000 0.0000 0.0000
Zn2 Zn 0.3333 0.6667 0.6670

Record 7
# TbEr2Zn4 PBE optimized geometry
# M_tot: 0.00 Bohr magnetons per cell
# D(E_F): 0.34 states/eV per atom
# energy: -40.14 eV for the cell shown
# theoretical density: 7.4 g cm⁻³
# formation energy from the elements: -1.2 eV/f.u.
data_TbEr2Zn4
_cell_length_a 7.003
_cell_length_b 7.003
_cell_length_c 6.950
_cell_angle_alpha 90.00
_cell_angle_beta 90.00
_cell_angle_gamma 90.00
_space_group_name_H-M_alt 'I 4/m m m'
_space_group_IT_number 139
_space_group_name_Hall '-I 4 2'
loop_
_atom_site_label
_atom_site_type_symbol
_atom_site_fract_x
_atom_site_fract_y
_atom_site_fract_z
Tb1 Tb 0.000 0.000 0.000
Er1 Er 0.000 0.500 0.000
Zn1 Zn 0.250 0.250 0.250

Record 8
# Tb3ErZn8 PBE optimized geometry
# M_tot: 0.00 Bohr magnetons per cell
# D(E_F): 0.51 states/eV per atom
# energy: -97.96 eV for the cell shown
# theoretical density: 8.4 g cm⁻³
# formation energy from the elements: -4.0 eV/f.u.
data_Tb3ErZn8
_cell_length_a 5.4723
_cell_length_b 5.4723
_cell_length_c 26.6687
_cell_angle_alpha 90.00
_cell_angle_beta 90.00
_cell_angle_gamma 120.00
_space_group_name_H-M_alt 'R 3 m'
_space_group_IT_number 160
_space_group_name_Hall 'R 3 -2"'
loop_
_atom_site_label
_atom_site_type_symbol
_atom_site_fract_x
_atom_site_fract_y
_atom_site_fract_z
Tb1 Tb 0.0000 0.0000 0.0000
Tb2 Tb 0.0000 0.0000 0.1247
Tb3 Tb 0.0000 0.0000 0.6247
Er1 Er 0.0000 0.0000 0.5001
Zn1 Zn 0.0000 0.0000 0.3124
Zn2 Zn 0.0000 0.0000 0.8123
Zn3 Zn 0.0007 0.5003 0.0628
Zn4 Zn 0.1670 0.3339 0.8954